Entry 1:
Compound: Ir2RhSe
Source: Alexandria via LeMat-Bulk
Functional: GGA-PBE
Structure: relaxed

The density comes out at 15.571 g/cm3. For the uncorrected energy, the calculation gives -54.230 eV for the cell shown. Its total magnetization is 0.00 μB/cell. For the energy relative to the elements, uncorrected, the calculation gives 1.4 eV/f.u.

CIF file:
```
data_Ir2RhSe
_cell_length_a 5.546
_cell_length_b 7.576
_cell_length_c 2.875
_cell_angle_alpha 90.00
_cell_angle_beta 90.00
_cell_angle_gamma 90.00
_symmetry_space_group_name_H-M 'C m m m'
_symmetry_Int_Tables_number 65
_symmetry_space_group_name_Hall '-C 2 2'
loop_
_atom_site_label
_atom_site_fract_x
_atom_site_fract_y
_atom_site_fract_z
Ir1 0.250 0.250 0.000
Rh1 0.000 0.000 0.500
Se1 0.000 0.500 0.500
```

---

Entry 2:
Compound: CsNaAcTe2
Source: Alexandria via LeMat-Bulk
Functional: GGA-PBE
Structure: relaxed

The density comes out at 4.343 g/cm3. For the uncorrected energy, the calculation gives -68.639 eV for the cell shown. Its total magnetization is 0.77 μB/cell. For the energy relative to the elements, uncorrected, the calculation gives -4.6 eV/f.u.

CIF file:
```
data_CsNaAcTe2
_cell_length_a 7.251
_cell_length_b 17.322
_cell_length_c 7.769
_cell_angle_alpha 90.00
_cell_angle_beta 90.00
_cell_angle_gamma 90.00
_symmetry_space_group_name_H-M 'C m m e'
_symmetry_Int_Tables_number 67
_symmetry_space_group_name_Hall '-C 2a 2'
loop_
_atom_site_label
_atom_site_fract_x
_atom_site_fract_y
_atom_site_fract_z
Cs1 0.000 0.250 0.241
Na1 0.000 0.000 0.000
Ac1 0.250 0.000 0.500
Te1 0.000 0.122 0.729
```

---

Entry 3:
Compound: BaMgPRh
Source: Alexandria via LeMat-Bulk
Functional: GGA-PBE
Structure: relaxed

The density comes out at 4.706 g/cm3. For the uncorrected energy, the calculation gives -37.283 eV for the cell shown. Its total magnetization is 0.00 μB/cell. As for the formation enthalpy at 0 K: -591 meV/atom.

CIF file:
```
data_BaMgPRh
_cell_length_a 4.039
_cell_length_b 4.039
_cell_length_c 12.784
_cell_angle_alpha 90.00
_cell_angle_beta 90.00
_cell_angle_gamma 90.00
_symmetry_space_group_name_H-M 'P 4/n m m'
_symmetry_Int_Tables_number 129
loop_
_symmetry_equiv_pos_as_xyz
'x,y,z'
'-x,-y,-z'
'-y+1/2,x,z'
'y+1/2,-x,-z'
'-x+1/2,-y+1/2,z'
'x+1/2,y+1/2,-z'
'y,-x+1/2,z'
'-y,x+1/2,-z'
'x+1/2,-y,-z'
'-x+1/2,y,z'
'-y,-x,-z'
'y,x,z'
'-x,y+1/2,-z'
'x,-y+1/2,z'
'y+1/2,x+1/2,-z'
'-y+1/2,-x+1/2,z'
loop_
_atom_site_label
_atom_site_fract_x
_atom_site_fract_y
_atom_site_fract_z
Ba1 0.250 0.250 0.229
Mg1 0.250 0.750 0.500
P1 0.250 0.250 0.899
Rh1 0.250 0.750 0.000
```